No. 1
Compound: BiAsS3
Source: Alexandria via LeMat-Bulk
Functional: PBE-GGA
Structure: optimized geometry

- excess energy over the best structure of this formula in the dataset (eV/atom) = 0.012
- total magnetic moment (μB per formula unit) = 0.000
- VASP energy (eV per atom) = -4.380

Unit cell a=7.9312 b=6.5029 c=9.9792 alpha=90.00 beta=90.00 gamma=90.00
Fractional positions:
Bi (0.0392, 0.0045, 0.0000)
Bi (0.4608, 0.5045, 0.5000)
Bi (0.5392, 0.4955, 0.0000)
Bi (0.9608, 0.9955, 0.5000)
As (0.0250, 0.5114, 0.7707)
As (0.4750, 0.0114, 0.2707)
As (0.5250, 0.9886, 0.7707)
As (0.9750, 0.4886, 0.2707)
S (0.1204, 0.1779, 0.7596)
S (0.1331, 0.6156, 0.5654)
S (0.2192, 0.6633, 0.9084)
S (0.2808, 0.1633, 0.4084)
S (0.3669, 0.1156, 0.0654)
S (0.3796, 0.6779, 0.2596)
S (0.6204, 0.3221, 0.7596)
S (0.6331, 0.8844, 0.5654)
S (0.7192, 0.8367, 0.9084)
S (0.7808, 0.3367, 0.4084)
S (0.8669, 0.3844, 0.0654)
S (0.8796, 0.8221, 0.2596)

No. 2
Compound: CuAuSeBr2
Source: Alexandria via LeMat-Bulk
Functional: PBE-GGA
Structure: optimized geometry

- excess energy over the best structure of this formula in the dataset (eV/atom) = 0.000
- total magnetic moment (μB per formula unit) = 0.817
- VASP energy (eV per atom) = -2.389

Unit cell a=4.9210 b=4.9210 c=5.0081 alpha=90.00 beta=90.00 gamma=90.00
Fractional positions:
Cu (0.0000, 0.0000, 0.0000)
Au (0.5000, 0.5000, 0.5000)
Se (0.0000, 0.0000, 0.5000)
Br (0.0000, 0.5000, 0.0000)
Br (0.5000, 0.0000, 0.0000)

No. 3
Compound: BeTe2Mo
Source: Alexandria via LeMat-Bulk
Functional: PBE-GGA
Structure: optimized geometry

- total magnetic moment (μB per formula unit) = 2.020
- VASP energy (eV per atom) = -4.839

Unit cell a=6.1267 b=6.1267 c=10.9368 alpha=90.00 beta=90.00 gamma=90.00
Fractional positions:
Be (0.0000, 0.0000, 0.0000)
Be (0.0000, 0.5000, 0.2500)
Be (0.5000, 0.0000, 0.7500)
Be (0.5000, 0.5000, 0.5000)
Te (0.2135, 0.2500, 0.1250)
Te (0.2500, 0.7135, 0.3750)
Te (0.2500, 0.7865, 0.8750)
Te (0.2865, 0.2500, 0.6250)
Te (0.7135, 0.7500, 0.6250)
Te (0.7500, 0.2135, 0.8750)
Te (0.7500, 0.2865, 0.3750)
Te (0.7865, 0.7500, 0.1250)
Mo (0.0000, 0.0000, 0.5000)
Mo (0.0000, 0.5000, 0.7500)
Mo (0.5000, 0.0000, 0.2500)
Mo (0.5000, 0.5000, 0.0000)